(1)
A relaxed structure of Pr3YPu2S6. Source: Alexandria, functional PBE-GGA.

calculated volume = 23.1 A^3/atom
VASP energy = -8.1343 eV per atom

Unit cell a=6.9472 b=6.9472 c=7.0109 alpha=99.49 beta=99.49 gamma=120.00
Last column: nearest neighbours and their distance in Å.
Fractional positions:
Pr  0.0000  0.0000  0.0000  6 S 2.90
Pr  0.3329  0.6671  0.0000  6 S 2.90-2.91
Pr  0.6671  0.3329  0.0000  6 S 2.90-2.91
Y  0.5000  0.5000  0.5000  6 S 2.79
Pu  0.1665  0.8335  0.5000  6 S 2.79-2.80
Pu  0.8335  0.1665  0.5000  6 S 2.79-2.80
S  0.0890  0.4215  0.2647  1 Y 2.79, 2 Pu 2.79-2.80, 3 Pr 2.90-2.91
S  0.2464  0.2464  0.7368  1 Y 2.79, 2 Pu 2.80, 3 Pr 2.90
S  0.4215  0.0890  0.2647  1 Y 2.79, 2 Pu 2.79-2.80, 3 Pr 2.90-2.91
S  0.5785  0.9110  0.7353  1 Y 2.79, 2 Pu 2.79-2.80, 3 Pr 2.90-2.91
S  0.7536  0.7536  0.2632  1 Y 2.79, 2 Pu 2.80, 3 Pr 2.90
S  0.9110  0.5785  0.7353  1 Y 2.79, 2 Pu 2.79-2.80, 3 Pr 2.90-2.91

***

(2)
A relaxed structure of CdTcP. Source: Alexandria, functional PBE-GGA.

calculated volume = 17.4 A^3/atom
E_form = -69 meV/atom
VASP energy = -5.6327 eV per atom

Unit cell a=3.0327 b=3.0327 c=6.5523 alpha=90.00 beta=90.00 gamma=120.00
Last column: nearest neighbours and their distance in Å.
Fractional positions:
Cd  0.0000  0.0000  0.0000  3 Tc 2.96, 6 Cd 3.03, 3 P 3.16
Tc  0.3333  0.6667  0.6362  3 P 2.33
P  0.6667  0.3333  0.4011  3 Tc 2.33

***

(3)
A relaxed structure of CaMg2ScRu. Source: Alexandria, functional PBE-GGA.

calculated volume = 25.8 A^3/atom
E_form = -55 meV/atom
VASP energy = -4.2147 eV per atom

Unit cell a=5.1729 b=5.1729 c=4.8192 alpha=90.00 beta=90.00 gamma=90.00
Last column: nearest neighbours and their distance in Å.
Fractional positions:
Ca  0.0000  0.0000  0.0000  8 Mg 3.53, 4 Sc 3.66
Mg  0.0000  0.5000  0.5000  2 Ru 2.59
Mg  0.5000  0.0000  0.5000  2 Ru 2.59
Sc  0.5000  0.5000  0.0000  2 Ru 2.41
Ru  0.5000  0.5000  0.5000  2 Sc 2.41, 4 Mg 2.59

***

Among the records above, which one has the highest VASP energy?
CaMg2ScRu